HfPb3S | PBE-GGA | optimized geometry

**Size of the total moment**: 0.0 μB/cell
**Energy relative to the elements, uncorrected**: 665 meV per atom
**Calculated density**: 7.65 g/cm³
**Polymorph energy (0 for the lowest one)**: 0.034 eV per atom
**Space-group type**: Pm-3m (221)
**Volume**: 180.72 Å³ per cell

Cell lengths 5.654, 5.654, 5.654 Å; angles 90.00, 90.00, 90.00 degrees
Atoms (fractional coordinates):
Hf 0.000 0.000 0.000
Pb 0.000 0.000 0.500
Pb 0.000 0.500 0.000
Pb 0.500 0.000 0.000
S 0.500 0.500 0.500